Entry 1:
The following is a DFT calculation (GGA-PBE) of LiSbTeHBr after structural relaxation.

a = 4.481 Å, b = 4.188 Å, c = 7.787 Å
α = 90.00°, β = 96.62°, γ = 90.00°
Sites, in units of the cell vectors:
Li: 0.000 0.000 0.000
Sb: 0.678 0.500 0.485
Te: 0.059 0.000 0.374
H: 0.510 0.500 0.271
Br: 0.199 0.500 0.899

Properties
- offset from the most stable computed form (eV per atom) = 0.052
- space-group type = Pm (6)
- total magnetic moment (μB per atom) = 0.0000

***

Entry 2:
The following is a DFT calculation (GGA-PBE) of LiSbTeHBr after structural relaxation.

a = 4.117 Å, b = 4.391 Å, c = 8.262 Å
α = 89.59°, β = 75.66°, γ = 62.14°
Sites, in units of the cell vectors:
Li: 0.000 0.000 0.000
Sb: 0.492 0.560 0.464
Te: 0.921 0.466 0.701
H: 0.750 0.109 0.396
Br: 0.262 0.384 0.095

Properties
- offset from the most stable computed form (eV per atom) = 0.012
- space-group type = P1 (1)
- total magnetic moment (μB per atom) = 0.0000

***

Entry 3:
The following is a DFT calculation (GGA-PBE) of LiSbTeHBr after structural relaxation.

a = 4.119 Å, b = 4.389 Å, c = 7.700 Å
α = 79.41°, β = 75.50°, γ = 89.92°
Sites, in units of the cell vectors:
Li: 0.000 0.000 0.000
Sb: 0.409 0.973 0.583
Te: 0.026 0.211 0.330
H: 0.438 0.609 0.522
Br: 0.748 0.538 0.914

Properties
- offset from the most stable computed form (eV per atom) = 0.056
- space-group type = P1 (1)
- total magnetic moment (μB per atom) = 0.0000

***

Entry 4:
The following is a DFT calculation (GGA-PBE) of LiSbTeHBr after structural relaxation.

a = 4.398 Å, b = 4.398 Å, c = 8.773 Å
α = 108.97°, β = 108.97°, γ = 56.08°
Sites, in units of the cell vectors:
Li: 0.000 0.000 0.000
Sb: 0.654 0.654 0.547
Te: 0.968 0.968 0.324
H: 0.469 0.469 0.619
Br: 0.285 0.285 0.917

Properties
- offset from the most stable computed form (eV per atom) = 0.000
- space-group type = Cm (8)
- total magnetic moment (μB per atom) = 0.0000

***

Entry 5:
The following is a DFT calculation (GGA-PBE) of LiSbTeHBr after structural relaxation.

a = 6.999 Å, b = 6.999 Å, c = 5.020 Å
α = 93.23°, β = 93.23°, γ = 34.33°
Sites, in units of the cell vectors:
Li: 0.000 0.000 0.000
Sb: 0.111 0.111 0.536
Te: 0.747 0.747 0.740
H: 0.707 0.707 0.055
Br: 0.441 0.441 0.229

Properties
- offset from the most stable computed form (eV per atom) = 0.165
- space-group type = Cm (8)
- total magnetic moment (μB per atom) = 0.0000

***

Entry 6:
The following is a DFT calculation (GGA-PBE) of LiSbTeHBr after structural relaxation.

a = 7.329 Å, b = 7.329 Å, c = 4.674 Å
α = 95.18°, β = 95.18°, γ = 32.43°
Sites, in units of the cell vectors:
Li: 0.000 0.000 0.000
Sb: 0.768 0.768 0.023
Te: 0.164 0.164 0.697
H: 0.853 0.853 0.770
Br: 0.456 0.456 0.268

Properties
- offset from the most stable computed form (eV per atom) = 0.018
- space-group type = Cm (8)
- total magnetic moment (μB per atom) = 0.0000

***

Entry 7:
The following is a DFT calculation (GGA-PBE) of LiSbTeHBr after structural relaxation.

a = 7.130 Å, b = 7.130 Å, c = 4.962 Å
α = 94.53°, β = 94.53°, γ = 33.76°
Sites, in units of the cell vectors:
Li: 0.000 0.000 0.000
Sb: 0.256 0.256 0.326
Te: 0.897 0.897 0.468
H: 0.294 0.294 0.999
Br: 0.602 0.602 0.961

Properties
- offset from the most stable computed form (eV per atom) = 0.006
- space-group type = Cm (8)
- total magnetic moment (μB per atom) = 0.0000

***

Entry 8:
The following is a DFT calculation (GGA-PBE) of LiSbTeHBr after structural relaxation.

a = 3.283 Å, b = 4.429 Å, c = 9.054 Å
α = 93.88°, β = 90.18°, γ = 111.71°
Sites, in units of the cell vectors:
Li: 0.000 0.000 0.000
Sb: 0.420 0.852 0.466
Te: 0.619 0.244 0.738
H: 0.596 0.208 0.372
Br: 0.305 0.608 0.103

Properties
- offset from the most stable computed form (eV per atom) = 0.101
- space-group type = P1 (1)
- total magnetic moment (μB per atom) = 0.0000

***

Entry 9:
The following is a DFT calculation (GGA-PBE) of LiSbTeHBr after structural relaxation.

a = 4.082 Å, b = 3.278 Å, c = 9.095 Å
α = 90.00°, β = 94.89°, γ = 90.00°
Sites, in units of the cell vectors:
Li: 0.000 0.000 0.000
Sb: 0.721 0.000 0.401
Te: 0.140 0.000 0.666
H: 0.070 0.000 0.296
Br: 0.511 0.500 0.036

Properties
- offset from the most stable computed form (eV per atom) = 0.094
- space-group type = Pm (6)
- total magnetic moment (μB per atom) = 0.0000

***

Entry 10:
The following is a DFT calculation (GGA-PBE) of LiSbTeHBr after structural relaxation.

a = 4.471 Å, b = 4.172 Å, c = 7.765 Å
α = 90.00°, β = 103.71°, γ = 90.00°
Sites, in units of the cell vectors:
Li: 0.000 0.000 0.000
Sb: 0.926 0.000 0.368
Te: 0.380 0.500 0.486
H: 0.440 0.500 0.275
Br: 0.255 0.500 0.935

Properties
- offset from the most stable computed form (eV per atom) = 0.195
- space-group type = Pm (6)
- total magnetic moment (μB per atom) = 0.0000

***

Entry 11:
The following is a DFT calculation (GGA-PBE) of LiHSeBr2 after structural relaxation.

a = 5.376 Å, b = 5.376 Å, c = 3.566 Å
α = 90.00°, β = 90.00°, γ = 90.00°
Sites, in units of the cell vectors:
Li: 0.000 0.000 0.000
H: 0.500 0.500 0.500
Se: 0.500 0.500 0.000
Br: 0.000 0.500 0.500
Br: 0.500 0.000 0.500

Properties
- offset from the most stable computed form (eV per atom) = 0.000
- space-group type = P4/mmm (123)
- total magnetic moment (μB per atom) = 0.0815

***

Entry 12:
The following is a DFT calculation (GGA-PBE) of LiHSe2Br after structural relaxation.

a = 3.890 Å, b = 3.890 Å, c = 8.230 Å
α = 90.00°, β = 90.00°, γ = 90.00°
Sites, in units of the cell vectors:
Li: 0.000 0.000 0.000
H: 0.500 0.500 0.500
Se: 0.000 0.500 0.500
Se: 0.500 0.000 0.500
Br: 0.500 0.500 0.000

Properties
- offset from the most stable computed form (eV per atom) = 0.000
- space-group type = P4/mmm (123)
- total magnetic moment (μB per atom) = 0.0000

***

What is the total magnetic moment in the eighth record?
0.0000 μB per atom

***

Copy entry 3 word for word.
The following is a DFT calculation (GGA-PBE) of LiSbTeHBr after structural relaxation.

a = 4.119 Å, b = 4.389 Å, c = 7.700 Å
α = 79.41°, β = 75.50°, γ = 89.92°
Sites, in units of the cell vectors:
Li: 0.000 0.000 0.000
Sb: 0.409 0.973 0.583
Te: 0.026 0.211 0.330
H: 0.438 0.609 0.522
Br: 0.748 0.538 0.914

Properties
- offset from the most stable computed form (eV per atom) = 0.056
- space-group type = P1 (1)
- total magnetic moment (μB per atom) = 0.0000